No. 1
# TePt3Se

A relaxed TePt3Se crystal (PBE, the Alexandria database).

The structure in extended XYZ format:
```
5
Lattice="4.9815 0.0000 0.0000 0.0000 4.9815 0.0000 0.0000 0.0000 4.9815" Properties=species:S:1:pos:R:3 pbc="T T T"
Te 0.0000 0.0000 0.0000
Pt 0.0000 0.0000 2.4908
Pt 0.0000 2.4908 0.0000
Pt 2.4908 0.0000 0.0000
Se 2.4908 2.4908 2.4908
```

## Properties
Energy relative to the elements, uncorrected (eV/atom): 1.00

---

No. 2
# Tb5Tm3P8

A relaxed Tb5Tm3P8 crystal (PBE, the Alexandria database).

The structure in extended XYZ format:
```
16
Lattice="3.9980 2.3082 6.5273 -3.9980 2.3082 6.5273 0.0000 -4.6165 6.5273" Properties=species:S:1:pos:R:3 pbc="T T T"
Tb 0.0000 0.0000 0.0000
Tb -1.9990 -1.1541 6.5273
Tb -1.9990 1.1541 13.0545
Tb 0.0000 2.3082 6.5272
Tb 0.0000 0.0000 9.7909
Tm -3.9980 0.0000 9.7909
Tm -1.9990 1.1541 3.2636
Tm 1.9990 1.1541 3.2636
P -2.0124 -1.1618 11.4008
P 0.0000 0.0000 4.8631
P 0.0000 -2.3237 8.1809
P -2.0124 1.1618 8.1809
P 2.0124 -1.1618 11.4008
P 0.0000 2.3237 11.4008
P 0.0000 0.0000 14.7187
P 2.0124 1.1618 8.1809
```

## Properties
E_form (eV per atom): -1.608

---

No. 3
# Mn2BeH

A relaxed Mn2BeH crystal (PBE, the Alexandria database).

The structure in extended XYZ format:
```
8
Lattice="-2.2309 2.2309 4.1986 2.2309 -2.2309 4.1986 2.2309 2.2309 -4.1986" Properties=species:S:1:pos:R:3 pbc="T T T"
Mn 0.0000 0.0000 0.0000
Mn 1.1154 1.1154 -2.0993
Mn 1.1154 -1.1154 2.0993
Mn 0.0000 2.2309 0.0000
Be 2.2309 1.1154 1.0496
Be 0.0000 1.1154 3.1489
H 2.2309 -1.1154 3.1489
H 0.0000 3.3463 1.0496
```

## Properties
Uncorrected energy (eV/atom): -5.656

---

No. 4
# K3Ni2Cl9

A relaxed K3Ni2Cl9 crystal (PBE, the Alexandria database).

The structure in extended XYZ format:
```
28
Lattice="5.7566 3.3236 6.4442 -5.7566 3.3236 6.4442 0.0000 -6.6471 6.4442" Properties=species:S:1:pos:R:3 pbc="T T T"
K -3.7999 0.0655 8.0553
K -1.9567 -3.2581 11.2774
K 1.8433 -3.3236 8.0553
K -1.8433 3.3236 11.2774
K 1.9567 3.2581 8.0553
K 3.7999 -0.0654 11.2774
Ni 0.0000 0.0000 3.3285
Ni 0.0000 0.0000 6.3378
Ni 0.0000 0.0000 12.9948
Ni 0.0000 0.0000 16.0042
Cl -4.7816 -1.6859 10.8000
Cl -1.8131 0.0000 4.8332
Cl -0.9307 -4.9839 8.5327
Cl -0.9307 -1.6632 7.5779
Cl 0.9066 -1.5702 4.8332
Cl -3.8508 3.2980 8.5327
Cl -0.9750 1.6377 7.5779
Cl 0.9066 1.5702 4.8332
Cl -1.9058 -0.0256 11.7548
Cl 1.9058 0.0256 7.5779
Cl -0.9066 -1.5702 14.4995
Cl 0.9750 -1.6376 11.7548
Cl 3.8508 -3.2980 10.8000
Cl -0.9066 1.5702 14.4995
Cl 0.9307 1.6632 11.7548
Cl 0.9307 4.9839 10.8000
Cl 1.8131 0.0000 14.4995
Cl 4.7816 1.6859 8.5327
```

## Properties
Energy relative to the elements, uncorrected (eV/atom): -1.11

---

No. 5
# K2PaAgSe4

A relaxed K2PaAgSe4 crystal (PBE, the Alexandria database).

The structure in extended XYZ format:
```
8
Lattice="7.0921 0.0000 0.0000 0.0000 4.3152 0.0000 -2.5564 0.0000 7.6153" Properties=species:S:1:pos:R:3 pbc="T T T"
K 0.0000 0.0000 0.0000
K 3.5460 2.1576 0.0000
Pa -1.2782 2.1576 3.8076
Ag 2.2678 0.0000 3.8076
Se -0.2461 0.0000 5.3758
Se 0.9891 2.1576 2.2916
Se 3.5465 2.1576 5.3237
Se 4.7818 0.0000 2.2395
```

## Properties
Energy relative to the elements, uncorrected (eV/atom): -1.10

---

No. 6
# Y6Cd5Ag

A relaxed Y6Cd5Ag crystal (PBE, the Alexandria database).

The structure in extended XYZ format:
```
12
Lattice="2.6343 -7.9154 0.0000 2.6343 7.9154 0.0000 0.0000 0.0000 7.4907" Properties=species:S:1:pos:R:3 pbc="T T T"
Y 0.0000 0.0000 1.8355
Y 0.0000 0.0000 5.6552
Y 2.6343 2.6006 1.8595
Y 2.6343 2.6006 5.6312
Y 2.6343 -2.6006 1.8595
Y 2.6343 -2.6006 5.6312
Cd 2.6343 5.2614 3.7454
Cd 2.6343 5.2277 0.0000
Cd 2.6343 0.0000 3.7454
Cd 2.6343 -5.2277 0.0000
Cd 2.6343 -5.2614 3.7454
Ag 2.6343 0.0000 0.0000
```

## Properties
E_form (eV per atom): -0.345

---

No. 7
# MoAu2Br

A relaxed MoAu2Br crystal (PBE, the Alexandria database).

The structure in extended XYZ format:
```
4
Lattice="2.8840 0.0000 0.0000 0.0000 2.8840 0.0000 0.0000 0.0000 9.8133" Properties=species:S:1:pos:R:3 pbc="T T T"
Mo 0.0000 0.0000 0.0000
Au 1.4420 1.4420 1.9846
Au 1.4420 1.4420 7.8287
Br 0.0000 0.0000 4.9066
```

## Properties
Energy relative to the elements, uncorrected (eV/atom): 0.42

---

No. 8
# SnCF2

A relaxed SnCF2 crystal (PBE, the Alexandria database).

The structure in extended XYZ format:
```
8
Lattice="-2.6494 2.6494 4.9175 2.6494 -2.6494 4.9175 2.6494 2.6494 -4.9175" Properties=species:S:1:pos:R:3 pbc="T T T"
Sn 0.0000 0.0000 0.0000
Sn 0.0000 2.6494 2.4587
C 2.6494 0.0000 2.4587
C 0.0000 0.0000 4.9175
F 1.3247 -0.4271 3.6881
F 2.2224 1.3247 1.2294
F 1.3247 3.0765 -1.2294
F 0.4271 1.3247 6.1469
```

## Properties
Energy relative to the elements, uncorrected (eV/atom): 0.63